[1]
A geometry-optimized CrCoPtO6 structure, computed with PBE+U.

abc: 5.071 5.071 8.570
angles: 90.00 90.00 120.00
Sites, in units of the cell vectors:
Cr 0.333 0.667 0.250
Cr 0.667 0.333 0.750
Co 0.000 0.000 0.000
Co 0.000 0.000 0.500
Pt 0.333 0.667 0.750
Pt 0.667 0.333 0.250
O 0.006 0.351 0.125
O 0.006 0.655 0.375
O 0.345 0.351 0.375
O 0.345 0.994 0.125
O 0.351 0.006 0.625
O 0.351 0.345 0.875
O 0.649 0.655 0.125
O 0.649 0.994 0.375
O 0.655 0.006 0.875
O 0.655 0.649 0.625
O 0.994 0.345 0.625
O 0.994 0.649 0.875

Values from the calculation:
- final energy (eV for the cell shown) = -111.79
- spin magnetization (μB per formula unit) = 3.2

***

[2]
A geometry-optimized PuCrCoO6 structure, computed with PBE+U.

abc: 5.164 5.164 8.615
angles: 90.00 90.00 120.00
Sites, in units of the cell vectors:
Pu 0.333 0.667 0.250
Pu 0.667 0.333 0.750
Cr 0.333 0.667 0.750
Cr 0.667 0.333 0.250
Co 0.000 0.000 0.000
Co 0.000 0.000 0.500
O 0.008 0.336 0.626
O 0.008 0.671 0.874
O 0.329 0.336 0.874
O 0.329 0.992 0.626
O 0.336 0.008 0.126
O 0.336 0.329 0.374
O 0.664 0.671 0.626
O 0.664 0.992 0.874
O 0.671 0.008 0.374
O 0.671 0.664 0.126
O 0.992 0.329 0.126
O 0.992 0.664 0.374

Values from the calculation:
- final energy (eV for the cell shown) = -144.71
- spin magnetization (μB per formula unit) = 5.0

***

[3]
A geometry-optimized RbCr2CoO8 structure, computed with PBE+U.

abc: 5.095 5.095 8.215
angles: 90.00 90.00 120.00
Sites, in units of the cell vectors:
Rb 0.000 0.000 0.000
Cr 0.333 0.667 0.698
Cr 0.667 0.333 0.302
Co 0.000 0.000 0.500
O 0.057 0.324 0.637
O 0.267 0.943 0.637
O 0.324 0.267 0.363
O 0.333 0.667 0.897
O 0.667 0.333 0.103
O 0.676 0.733 0.637
O 0.733 0.057 0.363
O 0.943 0.676 0.363

Values from the calculation:
- final energy (eV for the cell shown) = -75.60
- spin magnetization (μB per formula unit) = 0.1

***

[4]
A geometry-optimized Rb2CrCoO4 structure, computed with PBE+U.

abc: 12.002 10.625 6.640
angles: 84.74 61.83 33.43
Sites, in units of the cell vectors:
Rb 0.050 0.050 0.700
Rb 0.300 0.300 0.950
Rb 0.700 0.700 0.050
Rb 0.950 0.950 0.300
Cr 0.125 0.125 0.125
Cr 0.875 0.875 0.875
Co 0.375 0.375 0.375
Co 0.625 0.625 0.625
O 0.034 0.307 0.388
O 0.228 0.612 0.693
O 0.307 0.034 0.772
O 0.388 0.772 0.034
O 0.612 0.228 0.966
O 0.693 0.966 0.228
O 0.772 0.388 0.307
O 0.966 0.693 0.612

Values from the calculation:
- final energy (eV for the cell shown) = -90.07
- spin magnetization (μB per formula unit) = 3.0

***

[5]
A geometry-optimized CrCoRh2O6 structure, computed with PBE+U.

abc: 5.455 5.455 5.455
angles: 55.40 55.40 55.40
Sites, in units of the cell vectors:
Cr 0.000 0.000 0.000
Co 0.496 0.496 0.496
Rh 0.301 0.301 0.301
Rh 0.804 0.804 0.804
O 0.112 0.708 0.389
O 0.219 0.602 0.878
O 0.389 0.112 0.708
O 0.602 0.878 0.219
O 0.708 0.389 0.112
O 0.878 0.219 0.602

Values from the calculation:
- final energy (eV for the cell shown) = -67.46
- spin magnetization (μB per formula unit) = 2.9

***

[6]
A geometry-optimized CrCoRhO6 structure, computed with PBE+U.

abc: 4.919 4.919 8.363
angles: 90.00 90.00 120.00
Sites, in units of the cell vectors:
Cr 0.333 0.667 0.250
Cr 0.667 0.333 0.750
Co 0.000 0.000 0.000
Co 0.000 0.000 0.500
Rh 0.333 0.667 0.750
Rh 0.667 0.333 0.250
O 0.006 0.336 0.120
O 0.006 0.670 0.380
O 0.330 0.336 0.380
O 0.330 0.994 0.120
O 0.336 0.006 0.620
O 0.336 0.330 0.880
O 0.664 0.670 0.120
O 0.664 0.994 0.380
O 0.670 0.006 0.880
O 0.670 0.664 0.620
O 0.994 0.330 0.620
O 0.994 0.664 0.880

Values from the calculation:
- final energy (eV for the cell shown) = -115.57
- spin magnetization (μB per formula unit) = 0.0

***

[7]
A geometry-optimized CrCo4SbO8 structure, computed with PBE+U.

abc: 6.061 6.061 6.126
angles: 119.12 119.12 59.45
Sites, in units of the cell vectors:
Cr 0.000 0.000 0.000
Co 0.000 0.500 0.000
Co 0.361 0.361 0.596
Co 0.500 0.000 0.000
Co 0.639 0.639 0.404
Sb 0.000 0.000 0.500
O 0.226 0.773 0.253
O 0.227 0.774 0.747
O 0.229 0.229 0.739
O 0.230 0.230 0.208
O 0.770 0.770 0.792
O 0.771 0.771 0.261
O 0.773 0.226 0.253
O 0.774 0.227 0.747

Values from the calculation:
- final energy (eV for the cell shown) = -90.59
- spin magnetization (μB per formula unit) = 9.0

***

[8]
A geometry-optimized CrCoSbO6 structure, computed with PBE+U.

abc: 4.533 4.533 9.061
angles: 90.00 90.00 90.00
Sites, in units of the cell vectors:
Cr 0.000 0.000 0.000
Cr 0.500 0.500 0.500
Co 0.000 0.000 0.667
Co 0.500 0.500 0.167
Sb 0.000 0.000 0.333
Sb 0.500 0.500 0.833
O 0.188 0.188 0.832
O 0.197 0.197 0.505
O 0.199 0.199 0.163
O 0.301 0.699 0.663
O 0.303 0.697 0.005
O 0.312 0.688 0.332
O 0.688 0.312 0.332
O 0.697 0.303 0.005
O 0.699 0.301 0.663
O 0.801 0.801 0.163
O 0.803 0.803 0.505
O 0.812 0.812 0.832

Values from the calculation:
- final energy (eV for the cell shown) = -116.42
- spin magnetization (μB per formula unit) = 2.0

***

[9]
A geometry-optimized Cr2CoSiO6 structure, computed with PBE+U.

abc: 4.930 4.961 5.310
angles: 90.80 116.92 119.53
Sites, in units of the cell vectors:
Cr 0.000 0.000 0.000
Cr 0.009 0.504 0.512
Co 0.601 0.804 0.402
Si 0.614 0.308 0.920
O 0.078 0.399 0.187
O 0.164 0.221 0.727
O 0.510 0.114 0.188
O 0.510 0.940 0.720
O 0.787 0.565 0.729
O 0.792 0.687 0.195

Values from the calculation:
- final energy (eV for the cell shown) = -74.07
- spin magnetization (μB per formula unit) = 7.0

***

[10]
A geometry-optimized Sm2CrCoO6 structure, computed with PBE+U.

abc: 5.349 5.546 9.311
angles: 90.00 124.81 90.00
Sites, in units of the cell vectors:
Sm 0.235 0.059 0.250
Sm 0.235 0.441 0.750
Sm 0.765 0.559 0.250
Sm 0.765 0.941 0.750
Cr 0.500 0.000 0.000
Cr 0.500 0.500 0.500
Co 0.000 0.000 0.500
Co 0.000 0.500 0.000
O 0.151 0.208 0.952
O 0.151 0.292 0.452
O 0.247 0.701 0.953
O 0.247 0.799 0.453
O 0.336 0.024 0.746
O 0.336 0.476 0.246
O 0.664 0.524 0.754
O 0.664 0.976 0.254
O 0.753 0.201 0.547
O 0.753 0.299 0.047
O 0.849 0.708 0.548
O 0.849 0.792 0.048

Values from the calculation:
- final energy (eV for the cell shown) = -153.14
- spin magnetization (μB per formula unit) = 3.0

***

[11]
A geometry-optimized SmCr4Co3O12 structure, computed with PBE+U.

abc: 6.414 6.414 6.414
angles: 109.47 109.47 109.47
Sites, in units of the cell vectors:
Sm 0.000 0.000 0.000
Cr 0.000 0.000 0.500
Cr 0.000 0.500 0.000
Cr 0.500 0.000 0.000
Cr 0.500 0.500 0.500
Co 0.000 0.500 0.500
Co 0.500 0.000 0.500
Co 0.500 0.500 0.000
O 0.141 0.830 0.311
O 0.170 0.311 0.481
O 0.170 0.689 0.859
O 0.311 0.141 0.830
O 0.311 0.481 0.170
O 0.481 0.170 0.311
O 0.519 0.830 0.689
O 0.689 0.519 0.830
O 0.689 0.859 0.170
O 0.830 0.311 0.141
O 0.830 0.689 0.519
O 0.859 0.170 0.689

Values from the calculation:
- final energy (eV for the cell shown) = -142.78
- spin magnetization (μB per formula unit) = 12.0

***

[12]
A geometry-optimized CrCoSn2O structure, computed with PBE+U.

abc: 5.590 5.590 3.528
angles: 90.00 90.00 90.00
Sites, in units of the cell vectors:
Cr 0.000 0.000 0.000
Co 0.500 0.500 0.500
Sn 0.000 0.500 0.000
Sn 0.500 0.000 0.000
O 0.000 0.000 0.500

Values from the calculation:
- final energy (eV for the cell shown) = -24.22
- spin magnetization (μB per formula unit) = 5.4